[1]
VASP calculation (PBE) on a geometry-optimized Sm4SiGeI2 structure.

The value obtained for the formation energy from raw total energies is -972 meV/atom.

It has space group P2/m (No. 10), with a = 7.4430 Å, b = 4.3020 Å, c = 7.9902 Å, α = 90.00°, β = 108.14° and γ = 90.00°. The inequivalent atoms are Sm at (0.2296, 0.0000, 0.1962), Sm at (0.2651, 0.5000, 0.8032), Si at (0.0000, 0.5000, 0.0000), Ge at (0.5000, 0.0000, 0.0000), I at (0.0000, 0.0000, 0.5000) and I at (0.5000, 0.5000, 0.5000).

***

[2]
VASP calculation (PBE) on a geometry-optimized Sm6Si2GeI3 structure.

The value obtained for the formation energy from raw total energies is -960 meV/atom.

It has space group C2/m (No. 12), with a = 7.4436 Å, b = 12.8902 Å, c = 7.9774 Å, α = 90.00°, β = 108.13° and γ = 90.00°. The inequivalent atoms are Sm at (0.2298, 0.0000, 0.1967), Sm at (0.2335, 0.3321, 0.1966), Si at (0.0000, 0.1666, 0.0000), Ge at (0.0000, 0.5000, 0.0000), I at (0.0000, 0.0000, 0.5000) and I at (0.0000, 0.3337, 0.5000).

***

[3]
VASP calculation (PBE) on a geometry-optimized TiSiGe2I structure.

The value obtained for the formation energy from raw total energies is 467 meV/atom.

It has space group P4/mmm (No. 123), with a = 5.1054 Å, b = 5.1054 Å, c = 4.9249 Å, α = 90.00°, β = 90.00° and γ = 90.00°. The inequivalent atoms are Ti at (0.0000, 0.0000, 0.0000), Si at (0.0000, 0.0000, 0.5000), Ge at (0.0000, 0.5000, 0.0000) and I at (0.5000, 0.5000, 0.5000).

***

[4]
VASP calculation (PBE) on a geometry-optimized ZnSiGe2I structure.

The value obtained for the formation energy from raw total energies is 1411 meV/atom.

It has space group P4/mmm (No. 123), with a = 5.5175 Å, b = 5.5175 Å, c = 5.1065 Å, α = 90.00°, β = 90.00° and γ = 90.00°. The inequivalent atoms are Zn at (0.0000, 0.0000, 0.0000), Si at (0.5000, 0.5000, 0.0000), Ge at (0.0000, 0.5000, 0.5000) and I at (0.0000, 0.0000, 0.5000).

***

[5]
VASP calculation (PBE) on a geometry-optimized Zn2SiGeI structure.

The value obtained for the formation energy from raw total energies is 287 meV/atom.

It has space group P4/mmm (No. 123), with a = 4.8655 Å, b = 4.8655 Å, c = 5.1059 Å, α = 90.00°, β = 90.00° and γ = 90.00°. The inequivalent atoms are Zn at (0.0000, 0.5000, 0.0000), Si at (0.0000, 0.0000, 0.0000), Ge at (0.0000, 0.0000, 0.5000) and I at (0.5000, 0.5000, 0.5000).

***

[6]
VASP calculation (PBE) on a geometry-optimized SmGeI5 structure.

The value obtained for the formation energy from raw total energies is -883 meV/atom.

It has space group P2_1/m (No. 11), with a = 9.0746 Å, b = 4.4326 Å, c = 15.2515 Å, α = 90.00°, β = 95.71° and γ = 90.00°. The inequivalent atoms are Sm at (0.1045, 0.2500, 0.1494), Ge at (0.3900, 0.7500, 0.3861), I at (0.1043, 0.2500, 0.7912), I at (0.1613, 0.2500, 0.3713), I at (0.1841, 0.7500, 0.0118), I at (0.3676, 0.7500, 0.5691) and I at (0.4343, 0.2500, 0.1910).

***

[7]
VASP calculation (PBE) on a geometry-optimized Sm4GeI5 structure.

The value obtained for the formation energy from raw total energies is -1237 meV/atom.

It has space group C2/m (No. 12), with a = 19.4016 Å, b = 4.2806 Å, c = 8.9974 Å, α = 90.00°, β = 102.58° and γ = 90.00°. The inequivalent atoms are Sm at (0.9998, 0.0000, 0.2139), Sm at (0.1481, 0.5000, 0.0735), Ge at (0.0000, 0.5000, 0.0000), I at (0.0000, 0.5000, 0.5000), I at (0.1664, 0.0000, 0.3359) and I at (0.1713, 0.0000, 0.8257).

***

[8]
VASP calculation (PBE) on a geometry-optimized Sm8Ge5I structure.

The value obtained for the formation energy from raw total energies is -805 meV/atom.

It has space group I-4 (No. 82), with a = 9.1292 Å, b = 9.1292 Å, c = 9.0413 Å, α = 90.00°, β = 90.00° and γ = 90.00°. The inequivalent atoms are Sm at (0.0688, 0.3106, 0.0661), Sm at (0.0722, 0.1681, 0.6890), Ge at (0.0000, 0.0000, 0.0000), Ge at (0.1314, 0.2496, 0.3779) and I at (0.0000, 0.5000, 0.7500).

***

[9]
VASP calculation (PBE) on a geometry-optimized SmGe2I8 structure.

The value obtained for the formation energy from raw total energies is -610 meV/atom.

It has space group C2/m (No. 12), with a = 13.5688 Å, b = 11.6319 Å, c = 7.7482 Å, α = 90.00°, β = 104.05° and γ = 90.00°. The inequivalent atoms are Sm at (0.0000, 0.0000, 0.0000), Ge at (0.1905, 0.0000, 0.6574), I at (0.0897, 0.1820, 0.7894), I at (0.1187, 0.5000, 0.1551) and I at (0.2059, 0.0000, 0.2852).

***

[10]
VASP calculation (PBE) on a geometry-optimized Sm4Ge2I structure.

The value obtained for the formation energy from raw total energies is -785 meV/atom.

It has space group I-42d (No. 122), with a = 9.1531 Å, b = 9.1531 Å, c = 9.1288 Å, α = 90.00°, β = 90.00° and γ = 90.00°. The inequivalent atoms are Sm at (0.0730, 0.6747, 0.4305), Ge at (0.1360, 0.7500, 0.1250) and I at (0.0000, 0.0000, 0.5000).

***

[11]
VASP calculation (PBE) on a geometry-optimized Sm2GeI2 structure.

The value obtained for the formation energy from raw total energies is -896 meV/atom.

It has space group Cmc2_1 (No. 36), with a = 4.1636 Å, b = 14.5962 Å, c = 11.1860 Å, α = 90.00°, β = 90.00° and γ = 90.00°. The inequivalent atoms are Sm at (0.0000, 0.0373, 0.0000), Sm at (0.0000, 0.2308, 0.2368), Ge at (0.0000, 0.3485, 0.5846), I at (0.0000, 0.0972, 0.7318) and I at (0.0000, 0.3663, 0.9287).

***

[12]
VASP calculation (PBE) on a geometry-optimized Sm4GeTeI2 structure.

The value obtained for the formation energy from raw total energies is -1058 meV/atom.

It has space group P2/m (No. 10), with a = 7.7495 Å, b = 4.3813 Å, c = 7.8645 Å, α = 90.00°, β = 108.89° and γ = 90.00°. The inequivalent atoms are Sm at (0.2105, 0.0000, 0.2000), Sm at (0.2350, 0.5000, 0.7925), Ge at (0.0000, 0.5000, 0.0000), Te at (0.5000, 0.0000, 0.0000), I at (0.0000, 0.0000, 0.5000) and I at (0.5000, 0.5000, 0.5000).

***

[13]
VASP calculation (PBE) on a geometry-optimized SmTlGe2I8 structure.

The value obtained for the formation energy from raw total energies is -678 meV/atom.

It has space group P-1 (No. 2), with a = 7.2384 Å, b = 7.7126 Å, c = 9.5603 Å, α = 86.14°, β = 87.01° and γ = 87.24°. The inequivalent atoms are Sm at (0.0000, 0.0000, 0.0000), Tl at (0.0000, 0.0000, 0.5000), Ge at (0.4644, 0.4716, 0.7433), I at (0.2442, 0.3285, 0.9791), I at (0.2515, 0.8281, 0.7729), I at (0.2576, 0.8373, 0.2272) and I at (0.2746, 0.3614, 0.5288).

***

[14]
VASP calculation (PBE) on a geometry-optimized Sn2GeI structure.

The distance to the lowest polymorph of the same formula is 0 meV/atom. The value obtained for the formation energy from raw total energies is 220 meV/atom.

It has space group I-42d (No. 122), with a = 7.8901 Å, b = 7.8901 Å, c = 8.7854 Å, α = 90.00°, β = 90.00° and γ = 90.00°. The inequivalent atoms are Sn at (0.1939, 0.2500, 0.1250), Ge at (0.0000, 0.0000, 0.0000) and I at (0.0000, 0.0000, 0.5000).

***

[15]
VASP calculation (PBE) on a geometry-optimized SnGeI3 structure.

The value obtained for the formation energy from raw total energies is 249 meV/atom.

It has space group Pm-3m (No. 221), with a = 6.0749 Å, b = 6.0749 Å, c = 6.0749 Å, α = 90.00°, β = 90.00° and γ = 90.00°. The inequivalent atoms are Sn at (0.0000, 0.0000, 0.0000), Ge at (0.5000, 0.5000, 0.5000) and I at (0.0000, 0.0000, 0.5000).

***

[16]
VASP calculation (PBE) on a geometry-optimized SnGeI3 structure.

The value obtained for the formation energy from raw total energies is 82 meV/atom.

It has space group Pm-3m (No. 221), with a = 5.7878 Å, b = 5.7878 Å, c = 5.7878 Å, α = 90.00°, β = 90.00° and γ = 90.00°. The inequivalent atoms are Sn at (0.0000, 0.0000, 0.0000), Ge at (0.5000, 0.5000, 0.5000) and I at (0.0000, 0.5000, 0.5000).

***

[17]
VASP calculation (PBE) on a geometry-optimized Sn5GeI12 structure.

The value obtained for the formation energy from raw total energies is -477 meV/atom.

It has space group C2/m (No. 12), with a = 7.8234 Å, b = 13.5793 Å, c = 15.5379 Å, α = 90.00°, β = 90.02° and γ = 90.00°. The inequivalent atoms are Sn at (0.0000, 0.0000, 0.0000), Sn at (0.0000, 0.1666, 0.5000), Sn at (0.0000, 0.3335, 0.0000), Ge at (0.0000, 0.5000, 0.5000), I at (0.1580, 0.3418, 0.6152), I at (0.1661, 0.1668, 0.8793), I at (0.1664, 0.5000, 0.8792) and I at (0.1836, 0.0000, 0.6152).

***

[18]
VASP calculation (PBE) on a geometry-optimized SnGe3I structure.

The distance to the lowest polymorph of the same formula is 0 meV/atom. The value obtained for the formation energy from raw total energies is 796 meV/atom.

It has space group Pm-3m (No. 221), with a = 5.4632 Å, b = 5.4632 Å, c = 5.4632 Å, α = 90.00°, β = 90.00° and γ = 90.00°. The inequivalent atoms are Sn at (0.0000, 0.0000, 0.0000), Ge at (0.0000, 0.0000, 0.5000) and I at (0.5000, 0.5000, 0.5000).

***

[19]
VASP calculation (PBE) on a geometry-optimized Sn2Ge2I structure.

The distance to the lowest polymorph of the same formula is 49 meV/atom. The value obtained for the formation energy from raw total energies is 200 meV/atom.

It has space group P4/mbm (No. 127), with a = 8.6112 Å, b = 8.6112 Å, c = 3.5847 Å, α = 90.00°, β = 90.00° and γ = 90.00°. The inequivalent atoms are Sn at (0.1489, 0.3511, 0.0000), Ge at (0.1362, 0.6362, 0.5000) and I at (0.0000, 0.0000, 0.5000).

***

[20]
VASP calculation (PBE) on a geometry-optimized Sn2Ge2I structure.

The distance to the lowest polymorph of the same formula is 0 meV/atom. The value obtained for the formation energy from raw total energies is 151 meV/atom.

It has space group I4/mmm (No. 139), with a = 4.5068 Å, b = 4.5068 Å, c = 13.6007 Å, α = 90.00°, β = 90.00° and γ = 90.00°. The inequivalent atoms are Sn at (0.0000, 0.5000, 0.2500), Ge at (0.0000, 0.0000, 0.1066) and I at (0.0000, 0.0000, 0.5000).

***

Q: Which theoretical density values were calculated for the entries above? A: 6.53, 6.44, 4.50, 3.91, 4.92, 4.67, 5.96, 7.46, 3.67, 7.59, 6.13, 6.94, 4.74, 5.31, 4.24, 4.90, 4.40, 4.72, 6.37, 6.13, in g/cm3.
Q: Which density of states at the Fermi level values were calculated for the entries above? A: 3.59, 10.94, 6.83, 3.28, 2.36, 0.00, 8.71, 25.87, 10.25, 26.36, 13.75, 3.08, 0.00, 15.48, 4.21, 2.94, 0.00, 5.56, 4.15, 5.03, in states/eV/cell.